1.
A crystal of MnHg2IrS relaxed with PBEsol. Source: the Alexandria database, functional meta-GGA SCAN.

Results
E_form (uncorrected), meV per atom: 1033.8

Unit cell a=3.930 b=4.977 c=4.977 alpha=90.00 beta=90.00 gamma=90.00
Positions (direct):
S 0.500 0.000 0.000
Ir 0.500 0.500 0.500
Hg 0.000 0.000 0.500
Hg 0.000 0.500 0.000
Mn 0.000 0.000 0.000

***

2.
A crystal of HgMoIr3 relaxed with PBEsol. Source: the Alexandria database, functional meta-GGA SCAN.

Results
Formation energy from the elements, meV per atom: 2871
Energy above the lowest structure with this stoichiometry, meV per atom: 1140.2

Unit cell a=4.777 b=4.777 c=4.777 alpha=90.00 beta=90.00 gamma=90.00
Positions (direct):
Mo 0.500 0.500 0.500
Ir 0.000 0.500 0.000
Ir 0.000 0.000 0.500
Ir 0.500 0.000 0.000
Hg 0.000 0.000 0.000

***

3.
A crystal of HgMoIr3 relaxed with PBEsol. Source: the Alexandria database, functional meta-GGA SCAN.

Results
Formation energy from the elements, meV per atom: 1731
Energy above the lowest structure with this stoichiometry, meV per atom: 0.0

Unit cell a=4.667 b=4.667 c=4.667 alpha=90.00 beta=90.00 gamma=90.00
Positions (direct):
Mo 0.000 0.000 0.000
Ir 0.000 0.500 0.000
Ir 0.000 0.000 0.500
Ir 0.500 0.000 0.000
Hg 0.500 0.500 0.500

***

4.
A crystal of HgIr3N relaxed with PBEsol. Source: the Alexandria database, functional meta-GGA SCAN.

Results
E_form (uncorrected), meV per atom: 3764.9

Unit cell a=4.932 b=4.932 c=4.932 alpha=90.00 beta=90.00 gamma=90.00
Positions (direct):
Ir 0.000 0.500 0.000
Ir 0.000 0.000 0.500
Ir 0.500 0.000 0.000
Hg 0.000 0.000 0.000
N 0.500 0.500 0.500

***

5.
A crystal of HgIr2N relaxed with PBEsol. Source: the Alexandria database, functional meta-GGA SCAN.

Results
E_form (uncorrected), meV per atom: 608.2

Unit cell a=5.396 b=5.396 c=5.396 alpha=108.15 beta=108.15 gamma=112.15
Positions (direct):
Ir 0.625 0.501 0.376
Ir 0.125 0.249 0.624
Ir 0.751 0.375 0.876
Ir 0.499 0.875 0.124
Hg 0.000 0.000 0.000
Hg 0.250 0.750 0.500
N 0.500 0.500 0.000
N 0.750 0.250 0.500

***

6.
A crystal of Na3HgIr relaxed with PBEsol. Source: the Alexandria database, functional meta-GGA SCAN.

Results
Formation energy from the elements, meV per atom: 609

Unit cell a=5.374 b=5.374 c=5.374 alpha=90.00 beta=90.00 gamma=90.00
Positions (direct):
Na 0.000 0.500 0.000
Na 0.000 0.000 0.500
Na 0.500 0.000 0.000
Ir 0.000 0.000 0.000
Hg 0.500 0.500 0.500